1.
An optimized crystal structure of Nd3Mg3InAg2. Source: OQMD, functional GGA-PBE.

a = 7.577 Å, b = 7.577 Å, c = 4.692 Å
α = 90.00°, β = 90.00°, γ = 120.00°
Fractional positions:
Nd 0.000 0.571 0.000
Nd 0.429 0.429 0.000
Nd 0.571 0.000 0.000
Mg 0.000 0.245 0.500
Mg 0.245 0.000 0.500
Mg 0.755 0.755 0.500
In 0.000 0.000 0.000
Ag 0.333 0.667 0.500
Ag 0.667 0.333 0.500

Output
- Symmetry: P-62m (189)
- Magnetic moment: 0.057 μB per formula unit

2.
An optimized crystal structure of Zr4PN3. Source: OQMD, functional GGA-PBE.

a = 3.323 Å, b = 3.323 Å, c = 22.806 Å
α = 90.00°, β = 90.00°, γ = 120.00°
Fractional positions:
Zr 0.000 0.000 0.171
Zr 0.000 0.000 0.329
Zr 0.000 0.000 0.671
Zr 0.000 0.000 0.829
Zr 0.333 0.667 0.059
Zr 0.333 0.667 0.441
Zr 0.667 0.333 0.559
Zr 0.667 0.333 0.941
P 0.333 0.667 0.250
P 0.667 0.333 0.750
N 0.000 0.000 0.000
N 0.000 0.000 0.500
N 0.333 0.667 0.614
N 0.333 0.667 0.886
N 0.667 0.333 0.114
N 0.667 0.333 0.386

Output
- Symmetry: P6_3/mmc (194)
- Magnetic moment: 0.001 μB per formula unit

3.
An optimized crystal structure of CuAg3S2. Source: OQMD, functional GGA-PBE.

a = 8.573 Å, b = 8.573 Å, c = 8.573 Å
α = 119.01°, β = 119.01°, γ = 91.72°
Fractional positions:
Cu 0.029 0.279 0.750
Cu 0.279 0.029 0.250
Cu 0.721 0.971 0.750
Cu 0.971 0.721 0.250
Ag 0.000 0.500 0.500
Ag 0.060 0.310 0.121
Ag 0.060 0.940 0.750
Ag 0.310 0.060 0.621
Ag 0.310 0.690 0.250
Ag 0.500 0.000 0.000
Ag 0.500 0.500 0.000
Ag 0.500 0.500 0.500
Ag 0.690 0.310 0.750
Ag 0.690 0.940 0.379
Ag 0.940 0.060 0.250
Ag 0.940 0.690 0.879
S 0.213 0.713 0.500
S 0.287 0.287 0.000
S 0.287 0.287 0.500
S 0.287 0.787 0.000
S 0.713 0.213 0.000
S 0.713 0.713 0.000
S 0.713 0.713 0.500
S 0.787 0.287 0.500

Output
- Symmetry: I4_1/amd (141)

4.
An optimized crystal structure of Nd2GdU2. Source: OQMD, functional GGA-PBE.

a = 9.972 Å, b = 9.972 Å, c = 3.003 Å
α = 90.00°, β = 90.00°, γ = 90.00°
Fractional positions:
Nd 0.121 0.379 0.000
Nd 0.379 0.879 0.000
Nd 0.621 0.121 0.000
Nd 0.879 0.621 0.000
Gd 0.000 0.000 0.500
Gd 0.500 0.500 0.500
U 0.180 0.680 0.000
U 0.320 0.180 0.000
U 0.680 0.820 0.000
U 0.820 0.320 0.000

Output
- Symmetry: P4/mbm (127)
- DFT formation energy: 0.949 eV per atom
- Magnetic moment: 5.190 μB per formula unit

5.
An optimized crystal structure of Hf4PbC2S. Source: OQMD, functional GGA-PBE.

a = 3.373 Å, b = 3.373 Å, c = 13.414 Å
α = 90.00°, β = 90.00°, γ = 120.00°
Fractional positions:
Hf 0.000 0.000 0.135
Hf 0.000 0.000 0.865
Hf 0.333 0.667 0.315
Hf 0.333 0.667 0.685
Pb 0.000 0.000 0.500
C 0.667 0.333 0.226
C 0.667 0.333 0.774
S 0.333 0.667 0.000

Output
- Symmetry: P-6m2 (187)
- Magnetic moment: 0.002 μB per formula unit

6.
An optimized crystal structure of CsCdB4. Source: OQMD, functional GGA-PBE.

a = 3.189 Å, b = 3.189 Å, c = 9.510 Å
α = 90.00°, β = 90.00°, γ = 120.00°
Fractional positions:
Cs 0.000 0.000 0.000
Cd 0.000 0.000 0.500
B 0.333 0.667 0.294
B 0.333 0.667 0.706
B 0.667 0.333 0.294
B 0.667 0.333 0.706

Output
- Symmetry: P6/mmm (191)

7.
An optimized crystal structure of RbSm2S3. Source: OQMD, functional GGA-PBE.

a = 8.022 Å, b = 8.022 Å, c = 11.020 Å
α = 90.00°, β = 90.00°, γ = 147.24°
Fractional positions:
Rb 0.232 0.768 0.750
Rb 0.768 0.232 0.250
Sm 0.032 0.968 0.250
Sm 0.500 0.500 0.000
Sm 0.500 0.500 0.500
Sm 0.968 0.032 0.750
S 0.117 0.883 0.042
S 0.117 0.883 0.458
S 0.440 0.560 0.250
S 0.560 0.440 0.750
S 0.883 0.117 0.542
S 0.883 0.117 0.958

Output
- Symmetry: Cmcm (63)
- Magnetic moment: 0.006 μB per formula unit

8.
An optimized crystal structure of DyTm4Lu2Ni2S2. Source: OQMD, functional GGA-PBE.

a = 8.774 Å, b = 8.774 Å, c = 8.774 Å
α = 155.53°, β = 67.66°, γ = 118.03°
Fractional positions:
Dy 0.000 0.000 0.000
Tm 0.116 0.751 0.364
Tm 0.387 0.751 0.636
Tm 0.475 0.595 0.880
Tm 0.716 0.595 0.120
Lu 0.073 0.388 0.685
Lu 0.703 0.388 0.315
Ni 0.325 0.085 0.240
Ni 0.844 0.085 0.760
S 0.345 0.345 0.000
S 0.750 0.250 0.500

Output
- Symmetry: Imm2 (44)
- Magnetic moment: 0.010 μB per formula unit

Final energy across the listed records, respectively: -3.32, -9.63, -3.46, -6.41, -9.25, -4.09, -5.41, -5.50 eV/atom.